No. 1
SmI3O9 PBE relaxed; energy above the most stable polymorph in this dataset = 0 meV per atom
1.0
7.149 0.000 0.000
0.000 8.292 0.000
-2.408 0.000 13.067
Sm I O
4 12 36
direct
0.179 0.247 0.144
0.179 0.253 0.644
0.821 0.747 0.356
0.821 0.753 0.856
0.172 0.721 0.114
0.172 0.779 0.614
0.278 0.008 0.891
0.278 0.492 0.391
0.329 0.533 0.862
0.329 0.967 0.362
0.671 0.033 0.638
0.671 0.467 0.138
0.722 0.508 0.609
0.722 0.992 0.109
0.828 0.221 0.386
0.828 0.279 0.886
0.022 0.521 0.385
0.022 0.979 0.885
0.039 0.167 0.479
0.039 0.333 0.979
0.138 0.682 0.824
0.138 0.818 0.324
0.180 0.537 0.192
0.180 0.963 0.692
0.258 0.207 0.828
0.258 0.293 0.328
0.327 0.062 0.026
0.327 0.438 0.526
0.349 0.028 0.232
0.349 0.472 0.732
0.358 0.669 0.041
0.358 0.831 0.541
0.478 0.177 0.627
0.478 0.323 0.127
0.522 0.677 0.873
0.522 0.823 0.373
0.642 0.169 0.459
0.642 0.331 0.959
0.651 0.528 0.268
0.651 0.972 0.768
0.673 0.562 0.474
0.673 0.938 0.974
0.742 0.707 0.672
0.742 0.793 0.172
0.820 0.037 0.308
0.820 0.463 0.808
0.862 0.182 0.676
0.862 0.318 0.176
0.961 0.667 0.021
0.961 0.833 0.521
0.978 0.021 0.115
0.978 0.479 0.615

---

No. 2
SmI3O9 PBE relaxed; energy above the most stable polymorph in this dataset = 59 meV per atom
1.0
9.755 0.000 0.000
-4.878 8.448 0.000
0.000 0.000 4.998
Sm I O
2 6 18
direct
0.333 0.667 0.000
0.667 0.333 0.500
0.027 0.699 0.452
0.301 0.328 0.452
0.328 0.027 0.952
0.672 0.973 0.452
0.699 0.672 0.952
0.973 0.301 0.952
0.091 0.871 0.246
0.126 0.601 0.286
0.129 0.220 0.246
0.167 0.433 0.784
0.220 0.091 0.746
0.265 0.833 0.784
0.399 0.525 0.286
0.433 0.265 0.284
0.475 0.874 0.286
0.525 0.126 0.786
0.567 0.735 0.784
0.601 0.475 0.786
0.735 0.167 0.284
0.780 0.909 0.246
0.833 0.567 0.284
0.871 0.780 0.746
0.874 0.399 0.786
0.909 0.129 0.746

---

No. 3
SmTmI2O2 PBE relaxed; calculated total energy = -6.40 eV/atom
1.0
3.943 0.000 0.000
0.000 3.943 0.000
0.000 0.000 9.266
Sm Tm I O
1 1 2 2
direct
0.000 0.000 0.000
0.500 0.500 0.761
0.000 0.000 0.556
0.500 0.500 0.206
0.000 0.500 0.872
0.500 0.000 0.872